SrTc2Pt (PBEsol, optimized geometry); ρ = 11.80 g/cm³; E_form = 0.93 eV per atom; excess energy over the best structure of this formula in the dataset = 0.481 eV/atom; space group = Fm-3m (225)
1.0
0.000 3.229 3.229
3.229 0.000 3.229
3.229 3.229 0.000
Sr Tc Pt
1 2 1
direct
0.000 0.000 0.000
0.250 0.250 0.250
0.750 0.750 0.750
0.500 0.500 0.500



SrTc2Pt (PBEsol, optimized geometry); ρ = 11.36 g/cm³; E_form = 0.78 eV per atom; excess energy over the best structure of this formula in the dataset = 0.334 eV/atom; space group = I4/mmm (139)
1.0
-1.976 1.976 4.481
1.976 -1.976 4.481
1.976 1.976 -4.481
Sr Tc Pt
1 2 1
direct
0.000 0.000 0.000
0.250 0.750 0.500
0.750 0.250 0.500
0.500 0.500 0.000



SrTePt (PBEsol, optimized geometry); ρ = 8.80 g/cm³; energy relative to the elements, uncorrected = -1071 meV per atom; space group = P-6m2 (187)
1.0
4.545 0.000 0.000
-2.273 3.936 0.000
0.000 0.000 4.329
Sr Te Pt
1 1 1
direct
0.000 0.000 0.000
0.333 0.667 0.500
0.667 0.333 0.500



Sr2TlTePt (PBEsol, optimized geometry); ρ = 6.77 g/cm³; energy relative to the elements, uncorrected = -477 meV per atom; space group = P4/mmm (123)
1.0
5.703 0.000 0.000
0.000 5.703 0.000
0.000 0.000 5.296
Sr Tl Te Pt
2 1 1 1
direct
0.000 0.500 0.000
0.500 0.000 0.000
0.000 0.000 0.500
0.500 0.500 0.500
0.500 0.500 0.000



SrTlPt2 (PBEsol, optimized geometry); ρ = 13.86 g/cm³; E_form = -0.27 eV per atom; space group = P4/mmm (123)
1.0
4.459 0.000 0.000
0.000 4.459 0.000
0.000 0.000 4.111
Sr Tl Pt
1 1 2
direct
0.000 0.000 0.000
0.500 0.500 0.000
0.000 0.500 0.500
0.500 0.000 0.500



SrTl2Pt (PBEsol, optimized geometry); ρ = 11.70 g/cm³; E_form = -0.25 eV per atom; space group = P-1 (2)
1.0
4.419 0.000 0.000
0.006 4.436 0.000
0.014 0.011 5.006
Sr Tl Pt
1 2 1
direct
0.000 0.000 0.000
0.000 0.500 0.500
0.500 0.000 0.500
0.500 0.500 0.000



Sr2TlPt (PBEsol, optimized geometry); ρ = 8.63 g/cm³; E_form = -0.53 eV per atom; excess energy over the best structure of this formula in the dataset = 0.000 eV/atom; space group = P4/mmm (123)
1.0
3.740 0.000 0.000
0.000 3.740 0.000
0.000 0.000 7.909
Sr Tl Pt
2 1 1
direct
0.000 0.000 0.218
0.000 0.000 0.782
0.500 0.500 0.500
0.500 0.500 0.000